[1]
VASP calculation (PBE) on a geometry-optimized Rb4CeSm3S8 structure.

Cell lengths 8.3878, 8.3878, 23.0776 Å; angles 90.00, 90.00, 120.00 degrees
Space group R-3m (No. 166, hexagonal axes)
Asymmetric unit:
Rb 0.0000 0.0000 0.0000
Rb 0.0000 0.5000 0.0000
Ce 0.0000 0.0000 0.5000
Sm 0.0000 0.5000 0.5000
S 0.0000 0.0000 0.2318
S 0.0027 0.5014 0.7682

Values from the calculation:
Formation energy from raw total energies (eV/atom): -1.817
Total energy (eV per cell): -258.2
Density of states at the Fermi level (states/eV/cell): 14.47

=====

[2]
VASP calculation (PBE) on a geometry-optimized RbCeSm4S8 structure.

Cell lengths 8.4319, 8.4319, 20.8731 Å; angles 90.00, 90.00, 120.00 degrees
Space group R3m (No. 160, hexagonal axes)
Asymmetric unit:
Rb 0.0000 0.0000 0.0000
Ce 0.0000 0.0000 0.6289
Sm 0.0000 0.0000 0.2510
Sm 0.1722 0.3443 0.4577
S 0.0000 0.0000 0.3828
S 0.0000 0.0000 0.8571
S 0.0496 0.5248 0.3825
S 0.1750 0.3501 0.2053

Values from the calculation:
Formation energy from raw total energies (eV/atom): -1.872
Total energy (eV per cell): -255.0
Density of states at the Fermi level (states/eV/cell): 24.63

=====

[3]
VASP calculation (PBE) on a geometry-optimized Rb2Ce2SnS6 structure.

Cell lengths 7.188, 12.505, 8.053 Å; angles 90.00, 106.21, 90.00 degrees
Space group C2/m (No. 12)
Asymmetric unit:
Rb 0.000 0.161 0.000
Ce 0.000 0.334 0.500
Sn 0.000 0.000 0.500
S 0.212 0.500 0.687
S 0.231 0.176 0.685

Values from the calculation:
Formation energy from raw total energies (eV/atom): -1.446
Total energy (eV per cell): -117.0

=====

[4]
VASP calculation (PBE) on a geometry-optimized Rb4Ce3SnS8 structure.

Cell lengths 8.4997, 8.4997, 22.8337 Å; angles 90.00, 90.00, 120.00 degrees
Space group R-3m (No. 166, hexagonal axes)
Asymmetric unit:
Rb 0.0000 0.0000 0.0000
Rb 0.0000 0.5000 0.0000
Ce 0.0000 0.5000 0.5000
Sn 0.0000 0.0000 0.5000
S 0.0000 0.0000 0.2319
S 0.0117 0.5058 0.7690

Values from the calculation:
Formation energy from raw total energies (eV/atom): -1.554
Total energy (eV per cell): -250.7
Density of states at the Fermi level (states/eV/cell): 39.83

=====

[5]
VASP calculation (PBE) on a geometry-optimized Rb3Ce3SnS8 structure.

Cell lengths 8.3692, 8.3692, 22.9750 Å; angles 90.00, 90.00, 120.00 degrees
Space group R-3m (No. 166, hexagonal axes)
Asymmetric unit:
Rb 0.0000 0.5000 0.0000
Ce 0.0000 0.5000 0.5000
Sn 0.0000 0.0000 0.5000
S 0.0000 0.0000 0.2314
S 0.0116 0.5058 0.7714

Values from the calculation:
Formation energy from raw total energies (eV/atom): -1.538
Total energy (eV per cell): -242.4
Density of states at the Fermi level (states/eV/cell): 32.23

=====

[6]
VASP calculation (PBE) on a geometry-optimized Rb4SrCe3S8 structure.

Cell lengths 8.5325, 8.5325, 22.9570 Å; angles 90.00, 90.00, 120.00 degrees
Space group R-3m (No. 166, hexagonal axes)
Asymmetric unit:
Rb 0.0000 0.0000 0.0000
Rb 0.0000 0.5000 0.0000
Sr 0.0000 0.0000 0.5000
Ce 0.0000 0.5000 0.5000
S 0.0000 0.0000 0.2315
S 0.0166 0.5083 0.7683

Values from the calculation:
Formation energy from raw total energies (eV/atom): -1.768
Total energy (eV per cell): -254.0
Density of states at the Fermi level (states/eV/cell): 38.18

=====

formation energy from raw total energies of number 6 (Rb4SrCe3S8)? -1.768 eV/atom